1.
The following is a PBE-GGA calculation of a relaxed Hg3Br crystal, from Alexandria.

Output
- Uncorrected formation energy: -0.024 eV/atom
- DOS at the Fermi energy: 2.343 states/eV/cell
- E above lowest polymorph: 124 meV per atom

Unit cell a=5.3363 b=5.3363 c=3.9459 alpha=90.00 beta=90.00 gamma=90.00
Closest atoms and distances in Å follow each position.
Space group P4/mmm (No. 123)
Inequivalent atoms, fractional coordinates:
Hg1 0.0000 0.0000 0.0000  8 Hg 3.32
Hg2 0.0000 0.5000 0.5000  4 Hg 3.32, 4 Br 3.32
Br1 0.5000 0.5000 0.0000  8 Hg 3.32

2.
The following is a PBE-GGA calculation of a relaxed HgBr crystal, from Alexandria.

Output
- Uncorrected formation energy: -0.384 eV/atom
- DOS at the Fermi energy: 0.000 states/eV/cell
- E above lowest polymorph: 22 meV per atom

Unit cell a=6.4250 b=8.0582 c=11.2115 alpha=90.00 beta=90.00 gamma=90.00
Closest atoms and distances in Å follow each position.
Space group P2_12_12_1 (No. 19)
Inequivalent atoms, fractional coordinates:
Hg1 0.1046 0.1127 0.1454  1 Br 2.57, 1 Hg 2.62
Hg2 0.2442 0.4785 0.4278  1 Br 2.58, 1 Hg 2.62
Br1 0.0702 0.7204 0.7036  1 Hg 2.57
Br2 0.0769 0.0827 0.4514  1 Hg 2.58

3.
The following is a PBE-GGA calculation of a relaxed Hg5Br crystal, from Alexandria.

Output
- Uncorrected formation energy: -0.021 eV/atom
- DOS at the Fermi energy: 2.716 states/eV/cell
- E above lowest polymorph: 94 meV per atom

Unit cell a=6.6071 b=6.6071 c=4.7957 alpha=90.00 beta=90.00 gamma=120.00
Closest atoms and distances in Å follow each position.
Space group P6/mmm (No. 191)
Inequivalent atoms, fractional coordinates:
Hg1 0.0000 0.5000 0.0000  8 Hg 3.06-3.30
Hg2 0.3333 0.6667 0.5000  6 Hg 3.06
Br1 0.0000 0.0000 0.5000  18 Hg 3.81-4.08

4.
The following is a PBE-GGA calculation of a relaxed HgBr crystal, from Alexandria.

Output
- Uncorrected formation energy: -0.273 eV/atom
- DOS at the Fermi energy: 1.657 states/eV/cell
- E above lowest polymorph: 132 meV per atom

Unit cell a=13.8199 b=4.0529 c=9.7432 alpha=90.00 beta=134.76 gamma=90.00
Closest atoms and distances in Å follow each position.
Space group Cm (No. 8)
Inequivalent atoms, fractional coordinates:
Hg1 0.0000 0.0000 0.0000  2 Hg 2.90, 2 Br 3.16
Hg2 0.0446 0.5000 0.6488  5 Br 2.78-2.88
Hg3 0.1508 0.5000 0.3001  2 Hg 2.90, 2 Br 3.16
Br1 0.2077 0.0000 0.9182  2 Hg 2.78
Br2 0.3367 0.0000 0.6498  5 Hg 2.88-3.16
Br3 0.4381 0.5000 0.3785  2 Hg 2.78

5.
The following is a PBE-GGA calculation of a relaxed HgBr crystal, from Alexandria.

Output
- Uncorrected formation energy: -0.143 eV/atom
- DOS at the Fermi energy: 7.546 states/eV/cell
- E above lowest polymorph: 262 meV per atom

Unit cell a=6.2479 b=6.2479 c=6.2479 alpha=90.00 beta=90.00 gamma=90.00
Closest atoms and distances in Å follow each position.
Space group Fm-3m (No. 225)
Inequivalent atoms, fractional coordinates:
Hg1 0.0000 0.0000 0.0000  6 Br 3.12
Br1 0.0000 0.0000 0.5000  6 Hg 3.12

6.
The following is a PBE-GGA calculation of a relaxed Hg3Br crystal, from Alexandria.

Output
- Uncorrected formation energy: -0.148 eV/atom
- DOS at the Fermi energy: 4.588 states/eV/cell
- E above lowest polymorph: 0 meV per atom

Unit cell a=8.4389 b=8.7771 c=6.6012 alpha=90.00 beta=90.00 gamma=90.00
Closest atoms and distances in Å follow each position.
Space group Pnma (No. 62)
Inequivalent atoms, fractional coordinates:
Hg1 0.0006 0.2500 0.1978  4 Hg 2.97, 1 Br 3.26
Hg2 0.2504 0.0147 0.2512  4 Hg 2.97-3.31, 2 Br 3.15
Br1 0.9998 0.2500 0.7046  6 Hg 3.15-3.35

7.
The following is a PBE-GGA calculation of a relaxed Hg3Br crystal, from Alexandria.

Output
- Uncorrected formation energy: -0.034 eV/atom
- DOS at the Fermi energy: 6.605 states/eV/cell
- E above lowest polymorph: 114 meV per atom

Unit cell a=11.7892 b=11.7892 c=2.9304 alpha=90.00 beta=90.00 gamma=120.00
Closest atoms and distances in Å follow each position.
Space group R-3m (No. 166, hexagonal axes)
Inequivalent atoms, fractional coordinates:
Hg1 0.0000 0.5000 0.0000  2 Hg 2.93
Br1 0.0000 0.0000 0.0000  2 Br 2.93

8.
The following is a PBE-GGA calculation of a relaxed HgBr crystal, from Alexandria.

Output
- Uncorrected formation energy: -0.278 eV/atom
- DOS at the Fermi energy: 1.839 states/eV/cell
- E above lowest polymorph: 127 meV per atom

Unit cell a=10.5556 b=3.9697 c=5.7868 alpha=90.00 beta=90.00 gamma=90.00
Closest atoms and distances in Å follow each position.
Space group Pnma (No. 62)
Inequivalent atoms, fractional coordinates:
Hg1 0.0531 0.2500 0.1528  2 Br 2.86, 2 Hg 2.89
Br1 0.1617 0.7500 0.4499  2 Hg 2.86